Pm4Sm4Pb: relaxed, PBE.

V = 33.0 A^3/atom
energy relative to the elements = -0.087 eV/atom
density of states at the Fermi level = 13.88 states/eV per cell

Cell lengths 8.146, 8.146, 8.146 Å; angles 95.24, 95.24, 144.83 degrees
Positions (direct):
Pm  0.000  0.336  0.336
Pm  0.000  0.664  0.664
Pm  0.336  0.000  0.336
Pm  0.664  0.000  0.664
Sm  0.340  0.340  0.680
Sm  0.340  0.660  0.000
Sm  0.660  0.340  0.000
Sm  0.660  0.660  0.320
Pb  0.000  0.000  0.000

---

PmSmPb3: relaxed, PBE.

V = 30.6 A^3/atom
energy relative to the elements = -0.381 eV/atom
density of states at the Fermi level = 7.58 states/eV per cell

Cell lengths 6.301, 6.430, 8.412 Å; angles 79.25, 68.60, 76.28 degrees
Positions (direct):
Pm  0.185  0.063  0.111
Pm  0.815  0.937  0.889
Sm  0.475  0.580  0.724
Sm  0.525  0.420  0.276
Pb  0.069  0.736  0.521
Pb  0.105  0.587  0.116
Pb  0.392  0.108  0.685
Pb  0.608  0.892  0.315
Pb  0.895  0.413  0.884
Pb  0.931  0.264  0.479

---

Pm2SmPb: relaxed, PBE.

V = 32.8 A^3/atom
energy relative to the elements = -0.154 eV/atom
excess energy over the best structure of this formula in the dataset = 0.176 eV per atom
density of states at the Fermi level = 3.69 states/eV per cell

Cell lengths 11.478, 11.478, 11.478 Å; angles 18.38, 18.38, 18.38 degrees
Positions (direct):
Pm  0.000  0.000  0.000
Pm  0.174  0.174  0.174
Sm  0.754  0.754  0.754
Pb  0.587  0.587  0.587

---

What did the first record say?
Pm4Sm4Pb: relaxed, PBE.

V = 33.0 A^3/atom
energy relative to the elements = -0.087 eV/atom
density of states at the Fermi level = 13.88 states/eV per cell

Cell lengths 8.146, 8.146, 8.146 Å; angles 95.24, 95.24, 144.83 degrees
Positions (direct):
Pm  0.000  0.336  0.336
Pm  0.000  0.664  0.664
Pm  0.336  0.000  0.336
Pm  0.664  0.000  0.664
Sm  0.340  0.340  0.680
Sm  0.340  0.660  0.000
Sm  0.660  0.340  0.000
Sm  0.660  0.660  0.320
Pb  0.000  0.000  0.000